PmTaN2O | OQMD via LeMat-Bulk | PBE | relaxed; volume = 12.8 Å³ per atom; calculated total energy = -9.53 eV per atom
1.0
-4.156 3.064 -2.400
-2.844 -6.501 -3.374
-3.306 -0.917 4.554
N O Pm Ta
8 4 4 4
direct
0.752 0.555 0.248
0.752 0.945 0.248
0.252 0.555 0.252
0.252 0.945 0.252
0.748 0.055 0.748
0.748 0.445 0.748
0.248 0.055 0.752
0.248 0.445 0.752
0.501 0.250 0.101
0.001 0.250 0.399
0.999 0.750 0.601
0.499 0.750 0.899
0.002 0.750 0.021
0.502 0.750 0.479
0.498 0.250 0.521
0.998 0.250 0.979
0.500 0.000 0.000
0.500 0.500 0.000
0.000 0.000 0.500
0.000 0.500 0.500

***

ReF | OQMD via LeMat-Bulk | PBE | relaxed; volume = 12.3 Å³ per atom; E above lowest polymorph = 0.0 meV per atom
1.0
-0.939 1.241 2.096
-1.448 -1.809 -1.203
1.619 -2.933 2.462
F Re
1 1
direct
0.667 0.333 0.750
0.333 0.667 0.250

***

TaInCoIr | OQMD via LeMat-Bulk | PBE | relaxed; volume = 15.8 Å³ per atom; E above lowest polymorph = 0.0 meV per atom
1.0
-2.382 -0.514 3.753
-4.342 1.084 0.061
-3.105 -3.213 0.257
Co In Ir Ta
1 1 1 1
direct
0.750 0.750 0.750
0.000 0.000 0.000
0.250 0.250 0.250
0.500 0.500 0.500

***

LiHfMg2Al2Ir2 | OQMD via LeMat-Bulk | PBE | relaxed; volume = 15.6 Å³ per atom; calculated total energy = -5.52 eV per atom
1.0
4.267 0.000 0.000
0.000 4.267 0.000
0.000 0.000 6.846
Al Hf Ir Li Mg
2 1 2 1 2
direct
0.000 0.500 0.275
0.500 0.000 0.725
0.000 0.000 0.000
0.500 0.500 0.000
0.000 0.000 0.500
0.500 0.500 0.500
0.500 0.000 0.277
0.000 0.500 0.723

***

Hf3Zr3AlSb2 | OQMD via LeMat-Bulk | PBE | relaxed; volume = 21.9 Å³ per atom; E above lowest polymorph = 0.0 meV per atom
1.0
-1.038 6.526 3.701
1.737 -6.295 3.837
3.861 0.832 -0.384
Al Hf Sb Zr
1 3 2 3
direct
0.000 0.000 0.000
0.758 0.000 0.500
0.242 0.242 0.500
0.000 0.758 0.500
0.667 0.333 0.500
0.333 0.667 0.500
0.401 0.000 0.000
0.000 0.401 0.000
0.599 0.599 0.000

***

PrNd2Al7Cu2 | OQMD via LeMat-Bulk | PBE | relaxed; volume = 19.5 Å³ per atom; calculated total energy = -4.48 eV per atom
1.0
-7.085 1.597 5.670
-2.922 -0.557 8.720
-2.840 4.851 7.300
Al Cu Nd Pr
7 2 2 1
direct
0.581 0.581 0.072
0.928 0.419 0.419
0.419 0.928 0.419
0.500 0.500 0.500
0.581 0.072 0.581
0.072 0.581 0.581
0.419 0.419 0.928
0.335 0.335 0.335
0.665 0.665 0.665
0.142 0.142 0.142
0.858 0.858 0.858
0.000 0.000 0.000

***

For each record above, in turn, the calculated magnetization values are 0.0, 0.0, 2.0, 0.0, 0.0, 0.0 μB per cell.